Record 1
Ac3Nd12Dy, relaxed, DFT PBE; SG = P4/mmm (123); calculated formation energy = 24 meV/atom
1.0
-4.939 1.340 -1.279
-0.973 -4.976 -1.458
-6.294 -4.509 19.582
Ac Nd Dy
3 12 1
direct
0.000 0.000 0.753 Ac
0.000 0.000 0.500 Ac
0.000 0.000 0.247 Ac
0.500 0.500 0.000 Nd
0.000 0.500 0.120 Nd
0.500 0.500 0.246 Nd
0.000 0.500 0.880 Nd
0.500 0.000 0.374 Nd
0.500 0.000 0.626 Nd
0.500 0.000 0.120 Nd
0.500 0.000 0.880 Nd
0.500 0.500 0.500 Nd
0.000 0.500 0.626 Nd
0.000 0.500 0.374 Nd
0.500 0.500 0.754 Nd
0.000 0.000 0.000 Dy

Record 2
Sr2ZnCr, relaxed, DFT PBE; SG = P4/mmm (123); calculated formation energy = 319 meV/atom
1.0
5.624 0.000 0.000
0.000 5.629 0.000
0.000 0.000 3.912
Zn Sr Cr
1 2 1
direct
0.500 0.000 0.500 Zn
0.000 0.000 0.000 Sr
0.500 0.500 0.000 Sr
0.000 0.500 0.500 Cr